(1)
## LiZnSe (PBE)

Data for an optimized crystal structure of LiZnSe.

Output
excess energy over the best structure of this formula in the dataset: 275 meV/atom

Unit cell a=4.136 b=2.866 c=5.800 alpha=90.00 beta=101.68 gamma=90.00
Sites, in units of the cell vectors:
Li (0.775, 0.500, 0.654)
Zn (0.558, 0.000, 0.224)
Se (0.312, 0.000, 0.783)

(2)
## LiZn2Se2 (PBE)

Data for an optimized crystal structure of LiZn2Se2.

Output
excess energy over the best structure of this formula in the dataset: 101 meV/atom

Unit cell a=4.214 b=4.214 c=7.249 alpha=73.10 beta=73.10 gamma=90.00
Sites, in units of the cell vectors:
Zn (0.750, 0.250, 0.500)
Zn (0.250, 0.750, 0.500)
Se (0.365, 0.365, 0.270)
Se (0.635, 0.635, 0.730)
Li (0.000, 0.000, 0.000)

(3)
## Li2ZnSe2 (PBE)

Data for an optimized crystal structure of Li2ZnSe2.

Unit cell a=7.085 b=7.085 c=3.838 alpha=90.00 beta=90.00 gamma=90.00
Sites, in units of the cell vectors:
Zn (0.000, 0.000, 0.000)
Zn (0.500, 0.500, 0.000)
Se (0.320, 0.820, 0.000)
Se (0.820, 0.680, 0.000)
Se (0.680, 0.180, 0.000)
Se (0.180, 0.320, 0.000)
Li (0.137, 0.637, 0.500)
Li (0.637, 0.863, 0.500)
Li (0.863, 0.363, 0.500)
Li (0.363, 0.137, 0.500)

(4)
## LiZnSe (PBE)

Data for an optimized crystal structure of LiZnSe.

Output
excess energy over the best structure of this formula in the dataset: 425 meV/atom

Unit cell a=6.125 b=5.917 c=3.253 alpha=77.89 beta=70.83 gamma=31.28
Sites, in units of the cell vectors:
Li (0.987, 0.987, 0.013)
Se (0.337, 0.337, 0.663)
Zn (0.676, 0.676, 0.324)

(5)
## LiZn3Se (PBE)

Data for an optimized crystal structure of LiZn3Se.

Output
excess energy over the best structure of this formula in the dataset: 21 meV/atom

Unit cell a=4.632 b=4.632 c=4.632 alpha=90.00 beta=90.00 gamma=90.00
Sites, in units of the cell vectors:
Zn (0.000, 0.500, 0.000)
Zn (0.000, 0.000, 0.500)
Zn (0.500, 0.000, 0.000)
Se (0.500, 0.500, 0.500)
Li (0.000, 0.000, 0.000)

(6)
## LiZnSe (PBE)

Data for an optimized crystal structure of LiZnSe.

Output
excess energy over the best structure of this formula in the dataset: 186 meV/atom

Unit cell a=3.964 b=3.964 c=12.971 alpha=90.00 beta=90.00 gamma=120.00
Sites, in units of the cell vectors:
Li (0.000, 0.000, 0.541)
Li (0.333, 0.667, 0.208)
Li (0.667, 0.333, 0.875)
Zn (0.000, 0.000, 0.751)
Zn (0.333, 0.667, 0.417)
Zn (0.667, 0.333, 0.084)
Se (0.000, 0.000, 0.324)
Se (0.333, 0.667, 0.991)
Se (0.667, 0.333, 0.657)

The calculation returns the following mass density values, one per record and in order: 3.7 4.2 4.1 4.4 4.7 4.3 g cm⁻³.
The calculation returns the following calculated volume values, one per record and in order: 67.3 117.3 192.7 57.2 99.4 176.5 Å³ per cell.
The calculation returns the following energy relative to the elements, uncorrected values, one per record and in order: -0.3860 -0.3431 -0.7253 -0.2354 0.4177 -0.4745 eV/atom.